(1)
## CuBF3 (PBE-GGA)

Data for a relaxed structure of CuBF3.

abc: 3.6865 3.6865 3.6865
angles: 90.00 90.00 90.00
Closest atoms and distances in Å follow each position.
Positions (direct):
B 0.0000 0.0000 0.0000  6 F 1.84
Cu 0.5000 0.5000 0.5000  12 F 2.61
F 0.0000 0.5000 0.0000  2 B 1.84
F 0.0000 0.0000 0.5000  2 B 1.84
F 0.5000 0.0000 0.0000  2 B 1.84

Summary:
- ΔE to the lowest computed polymorph: 0 meV per atom
- Uncorrected formation energy: -3.255 eV per formula unit
- DOS(E_F): 1.00 states/eV/f.u.



(2)
## CrGeRuW (PBE-GGA)

Data for a relaxed structure of CrGeRuW.

abc: 4.2925 4.2925 4.2925
angles: 60.00 60.00 60.00
Closest atoms and distances in Å follow each position.
Positions (direct):
Ru 0.2500 0.2500 0.2500  4 W 2.63, 4 Ge 2.63
Ge 0.5000 0.5000 0.5000  4 Ru 2.63, 4 Cr 2.63
W 0.0000 0.0000 0.0000  4 Cr 2.63, 4 Ru 2.63
Cr 0.7500 0.7500 0.7500  4 Ge 2.63, 4 W 2.63

Summary:
- Formation enthalpy at 0 K: 0.05 eV per atom
- DOS(E_F): 2.90 states/eV/f.u.



(3)
## SnBRh3 (PBE-GGA)

Data for a relaxed structure of SnBRh3.

abc: 3.0207 5.0740 5.0740
angles: 82.41 90.00 90.00
Closest atoms and distances in Å follow each position.
Positions (direct):
B 0.0000 0.1050 0.8950  5 Rh 2.05-2.08
Rh 0.5000 0.3142 0.0567  2 B 2.08
Rh 0.5000 0.9433 0.6858  2 B 2.08
Rh 0.0000 0.7978 0.2022  1 B 2.05
Sn 0.5000 0.4677 0.5323  6 Rh 2.63-2.67, 2 B 2.86

Summary:
- Formation enthalpy at 0 K: -0.10 eV per atom
- DOS(E_F): 3.45 states/eV/f.u.



(4)
## Pu2InAu (PBE-GGA)

Data for a relaxed structure of Pu2InAu.

abc: 3.2206 5.6628 5.6628
angles: 66.58 90.00 90.00
Closest atoms and distances in Å follow each position.
Positions (direct):
Pu 0.0000 0.0000 0.0000  4 Pu 3.11-3.22, 4 In 3.26, 4 Au 3.26
Pu 0.0000 0.5000 0.5000  4 Pu 3.11-3.22, 4 Au 3.26, 4 In 3.26
In 0.5000 0.5000 0.0000  2 Au 3.11, 2 In 3.22, 8 Pu 3.26
Au 0.5000 0.0000 0.5000  2 In 3.11, 2 Au 3.22, 8 Pu 3.26

Summary:
- Formation enthalpy at 0 K: -0.26 eV per atom
- DOS(E_F): 11.30 states/eV/f.u.



Computed V, in the same sequence as the records: 10.02 13.98 15.42 23.69 Å³/atom.
Computed final energy, in the same sequence as the records: -19.64 -36.28 -33.22 -35.72 eV for the cell shown.